{
  "formula": "Tb2CoSn6",
  "functional": "PBE",
  "state": "relaxed",
  "final_energy_ev_per_fu": -44.3,
  "lattice": [[2.171, -11.440, 0.000], [2.171, 11.440, 0.000], [0.000, 0.000, 4.441]],
  "species": ["Sn", "Sn", "Tb", "Co", "Tb", "Sn", "Sn", "Sn", "Sn"],
  "fractional_positions": [[0.432, 0.568, 0.000], [0.932, 0.068, 0.500], [0.322, 0.678, 0.500], [0.000, 0.000, 0.000], [0.678, 0.322, 0.500], [0.568, 0.432, 0.000], [0.068, 0.932, 0.500], [0.205, 0.795, 0.000], [0.795, 0.205, 0.000]]
}